A geometry-optimized SrBeIn2 structure. Source: the Alexandria database, functional PBE.

Cell: 4.341 4.290 5.957 Å, 74.12 90.00 90.00°
Fractional coordinates of all 4 atoms:
Sr 0.500 0.250 0.250
Be 0.500 0.750 0.750
In 0.000 0.910 0.936
In 0.000 0.590 0.564

Output
- Spin magnetization: 0.00 μB per formula unit
- E_form: 0.037 eV per atom
- Calculated total energy: -10.74 eV/f.u.
- Density of states at the Fermi level: 0.29 states/eV per atom